The following is a meta-GGA SCAN calculation of a crystal of FeIrCl2 relaxed with PBEsol, from the Alexandria database.

Properties
**E**: -26.027 eV per atom
**D(E_F)**: 2.1 states/eV per cell
**E_form (uncorrected)**: 269 meV/atom

```
4
Lattice="2.887 0.000 0.000 0.000 3.892 0.000 -1.444 -1.946 6.463" Properties=species:S:1:pos:R:3 pbc="T T T"
Fe 1.444 1.946 0.701
Cl 1.444 0.000 3.144
Cl 1.444 1.946 6.273
Ir 0.000 1.946 2.808
```

---

The following is a meta-GGA SCAN calculation of a crystal of SbOsRu2 relaxed with PBEsol, from the Alexandria database.

Properties
**E**: -44.339 eV per atom
**D(E_F)**: 3.2 states/eV per cell
**E_form (uncorrected)**: 359 meV/atom

```
4
Lattice="2.852 0.000 0.018 0.000 3.803 0.000 -0.376 0.000 5.565" Properties=species:S:1:pos:R:3 pbc="T T T"
Ru 2.672 0.000 1.504
Ru -0.197 0.000 4.080
Sb 1.426 1.902 0.009
Os 1.238 1.902 2.792
```

---

The following is a meta-GGA SCAN calculation of a crystal of Hf2TcHgIr relaxed with PBEsol, from the Alexandria database.

Properties
**E**: -58.128 eV per atom
**D(E_F)**: 5.9 states/eV per cell

```
5
Lattice="-2.517 0.865 -3.978 2.549 -3.566 -2.388 -3.395 -3.375 1.415" Properties=species:S:1:pos:R:3 pbc="T T T"
Hf 1.275 -1.783 -1.194
Hf -1.698 -1.687 0.707
Tc -1.681 -3.038 -2.475
Ir -1.258 0.432 -1.989
Hg 0.000 0.000 0.000
```